Here is a crystal of CaNiTeI2 relaxed with PBEsol from Alexandria via LeMat-Bulk. Energies are from SCAN.

Unit cell a=5.7951 b=5.7951 c=5.9864 alpha=90.00 beta=90.00 gamma=90.00
Sites, in units of the cell vectors:
1 Ca 0.0000 0.0000 0.0000
2 Ni 0.5000 0.5000 0.5000
3 Te 0.0000 0.0000 0.5000
4 I 0.0000 0.5000 0.0000
5 I 0.5000 0.0000 0.0000

Space group: P4/mmm, No. 123
Formation energy without anion corrections, eV/atom: 0.13